# 1
## LiRh2W (SCAN)

Data for a PBEsol-optimized structure of LiRh2W.

a b c (Å): 2.8783 2.8783 6.3382
angles (deg): 90.00 90.00 90.00
Element x y z (fractional)
Li 0.0000 0.0000 0.0000
Rh 0.5000 0.5000 0.2310
Rh 0.5000 0.5000 0.7690
W 0.0000 0.0000 0.5000

Results
- ΔE_f (eV per atom) = -0.201
- final energy (eV for the cell shown) = -140.43

---

# 2
## LiRh2W (SCAN)

Data for a PBEsol-optimized structure of LiRh2W.

a b c (Å): 3.1573 3.1573 5.4328
angles (deg): 90.00 90.00 90.00
Element x y z (fractional)
Li 0.0000 0.0000 0.0000
Rh 0.0000 0.0000 0.4936
Rh 0.5000 0.5000 0.1719
W 0.5000 0.5000 0.7291

Results
- ΔE_f (eV per atom) = 0.098
- final energy (eV for the cell shown) = -139.23

---

# 3
## LiRh2W (SCAN)

Data for a PBEsol-optimized structure of LiRh2W.

a b c (Å): 2.7831 3.4304 5.6425
angles (deg): 90.00 90.00 90.00
Element x y z (fractional)
Li 0.0000 0.0000 0.0000
Rh 0.5000 0.5000 0.2413
Rh 0.5000 0.5000 0.7587
W 0.0000 0.0000 0.5000

Results
- ΔE_f (eV per atom) = -0.197
- final energy (eV for the cell shown) = -140.41

---

# 4
## Li2RhW (SCAN)

Data for a PBEsol-optimized structure of Li2RhW.

a b c (Å): 5.2198 5.2198 5.2198
angles (deg): 140.37 140.37 57.29
Element x y z (fractional)
Li 0.2500 0.7500 0.5000
Li 0.7500 0.2500 0.5000
Rh 0.0000 0.0000 0.0000
W 0.5000 0.5000 0.0000

Results
- ΔE_f (eV per atom) = 0.261
- E above lowest polymorph (meV per atom) = 115
- final energy (eV for the cell shown) = -107.19

---

# 5
## Li3RhW (SCAN)

Data for a PBEsol-optimized structure of Li3RhW.

a b c (Å): 4.1367 4.1367 4.1367
angles (deg): 90.00 90.00 90.00
Element x y z (fractional)
Li 0.0000 0.0000 0.5000
Li 0.0000 0.5000 0.0000
Li 0.5000 0.0000 0.0000
Rh 0.0000 0.0000 0.0000
W 0.5000 0.5000 0.5000

Results
- ΔE_f (eV per atom) = 1.360
- E above lowest polymorph (meV per atom) = 0
- final energy (eV for the cell shown) = -103.83

---

# 6
## Li2RhW (SCAN)

Data for a PBEsol-optimized structure of Li2RhW.

a b c (Å): 2.7490 4.3822 4.7055
angles (deg): 90.00 90.00 90.00
Element x y z (fractional)
Li 0.0000 0.0000 0.0000
Li 0.5000 0.5000 0.0000
Rh 0.0000 0.5000 0.5000
W 0.5000 0.0000 0.5000

Results
- ΔE_f (eV per atom) = 0.146
- E above lowest polymorph (meV per atom) = 0
- final energy (eV for the cell shown) = -107.66

---

# 7
## Li2RhW (SCAN)

Data for a PBEsol-optimized structure of Li2RhW.

a b c (Å): 2.6061 2.6061 9.2775
angles (deg): 90.00 90.00 115.66
Element x y z (fractional)
Li 0.0000 0.0000 0.2306
Li 0.0000 0.0000 0.7694
Rh 0.5000 0.5000 0.0000
W 0.5000 0.5000 0.5000

Results
- ΔE_f (eV per atom) = 0.177
- E above lowest polymorph (meV per atom) = 31
- final energy (eV for the cell shown) = -107.53

---

# 8
## LiRh2W (SCAN)

Data for a PBEsol-optimized structure of LiRh2W.

a b c (Å): 4.3729 4.3729 4.8953
angles (deg): 95.11 95.11 35.77
Element x y z (fractional)
Li 0.0000 0.0000 0.0000
Rh 0.2498 0.2498 0.7594
Rh 0.7502 0.7502 0.2406
W 0.5000 0.5000 0.5000

Results
- ΔE_f (eV per atom) = -0.009
- final energy (eV for the cell shown) = -139.66

---

# 9
## LiRh2W (SCAN)

Data for a PBEsol-optimized structure of LiRh2W.

a b c (Å): 8.8122 8.8122 8.8122
angles (deg): 17.92 17.92 17.92
Element x y z (fractional)
Li 0.0000 0.0000 0.0000
Rh 0.2490 0.2490 0.2490
Rh 0.7510 0.7510 0.7510
W 0.5000 0.5000 0.5000

Results
- ΔE_f (eV per atom) = -0.092
- final energy (eV for the cell shown) = -139.99

---

# 10
## LiRh2W (SCAN)

Data for a PBEsol-optimized structure of LiRh2W.

a b c (Å): 4.8062 4.8062 4.8062
angles (deg): 135.63 135.63 64.55
Element x y z (fractional)
Li 0.0000 0.0000 0.0000
Rh 0.5000 0.5000 0.0000
Rh 0.7500 0.2500 0.5000
W 0.2500 0.7500 0.5000

Results
- ΔE_f (eV per atom) = -0.064
- final energy (eV for the cell shown) = -139.88

---

# 11
## Li2YRh (SCAN)

Data for a PBEsol-optimized structure of Li2YRh.

a b c (Å): 5.4280 5.4280 5.4280
angles (deg): 140.54 135.99 60.57
Element x y z (fractional)
Li 0.2384 0.2384 0.0000
Li 0.7616 0.7616 0.0000
Y 0.5000 0.0000 0.5000
Rh 0.0000 0.5000 0.5000

Results
- ΔE_f (eV per atom) = -0.378
- E above lowest polymorph (meV per atom) = 0
- final energy (eV for the cell shown) = -67.91

---

# 12
## Li2YRh (SCAN)

Data for a PBEsol-optimized structure of Li2YRh.

a b c (Å): 9.9777 9.9777 9.9777
angles (deg): 16.85 16.85 16.85
Element x y z (fractional)
Li 0.2336 0.2336 0.2336
Li 0.7664 0.7664 0.7664
Y 0.0000 0.0000 0.0000
Rh 0.5000 0.5000 0.5000

Results
- ΔE_f (eV per atom) = 0.268
- E above lowest polymorph (meV per atom) = 646
- final energy (eV for the cell shown) = -65.32